# IrSe2Br, single point on PBEsol structure, DFT meta-GGA SCAN
# - Crystal system: monoclinic
# - Total magnetic moment: 0.0 μB per cell
# - DOS at the Fermi energy: 0.04 states/eV/cell
# - ρ: 7.59 Mg/m³
# - Excess energy over the best structure of this formula in the dataset: 0 meV per atom
data_IrSe2Br
_symmetry_space_group_name_H-M 'C 1 2/m 1'
_symmetry_Int_Tables_number 12
_symmetry_space_group_name_Hall '-C 2y'
_cell_length_a 6.5962
_cell_length_b 3.8075
_cell_length_c 7.7968
_cell_angle_alpha 90.00
_cell_angle_beta 106.18
_cell_angle_gamma 90.00
loop_
_atom_site_label
_atom_site_fract_x
_atom_site_fract_y
_atom_site_fract_z
Ir1 0.0000 0.0000 0.0000
Se1 0.1156 0.5000 0.8450
Br1 0.0000 0.5000 0.5000


# Na3SiSe, single point on PBEsol structure, DFT meta-GGA SCAN
# - Crystal system: cubic
# - Total magnetic moment: 3.0 μB per cell
# - DOS at the Fermi energy: 1.66 states/eV/cell
# - Raw total energy: -8.355 eV per atom
# - ρ: 1.82 Mg/m³
data_Na3SiSe
_symmetry_space_group_name_H-M 'P m -3 m'
_symmetry_Int_Tables_number 221
_symmetry_space_group_name_Hall '-P 4 2 3'
_cell_length_a 5.4327
_cell_length_b 5.4327
_cell_length_c 5.4327
_cell_angle_alpha 90.00
_cell_angle_beta 90.00
_cell_angle_gamma 90.00
loop_
_atom_site_label
_atom_site_fract_x
_atom_site_fract_y
_atom_site_fract_z
Na1 0.0000 0.0000 0.5000
Si1 0.0000 0.0000 0.0000
Se1 0.5000 0.5000 0.5000


# ScRu2Pb, single point on PBEsol structure, DFT meta-GGA SCAN
# - Crystal system: tetragonal
# - Total magnetic moment: 2.1 μB per cell
# - DOS at the Fermi energy: 2.74 states/eV/cell
# - Raw total energy: -39.862 eV per atom
# - ρ: 10.89 Mg/m³
data_ScRu2Pb
_symmetry_space_group_name_H-M 'P 4 m m'
_symmetry_Int_Tables_number 99
_symmetry_space_group_name_Hall 'P 4 -2'
_cell_length_a 3.4795
_cell_length_b 3.4795
_cell_length_c 5.7217
_cell_angle_alpha 90.00
_cell_angle_beta 90.00
_cell_angle_gamma 90.00
loop_
_atom_site_label
_atom_site_fract_x
_atom_site_fract_y
_atom_site_fract_z
Sc1 0.0000 0.0000 0.0000
Ru1 0.0000 0.0000 0.5389
Ru2 0.5000 0.5000 0.8053
Pb1 0.5000 0.5000 0.3124


# CsMnCl3, single point on PBEsol structure, DFT meta-GGA SCAN
# - Crystal system: trigonal
# - Total magnetic moment: 45.0 μB per cell
# - DOS at the Fermi energy: 0.00 states/eV/cell
# - Raw total energy: -17.910 eV per atom
# - ρ: 3.64 Mg/m³
data_CsMnCl3
_symmetry_space_group_name_H-M 'R -3 m'
_symmetry_Int_Tables_number 166
_symmetry_space_group_name_Hall '-R 3 2"'
_cell_length_a 7.1997
_cell_length_b 7.1997
_cell_length_c 26.9407
_cell_angle_alpha 90.00
_cell_angle_beta 90.00
_cell_angle_gamma 120.00
loop_
_atom_site_label
_atom_site_fract_x
_atom_site_fract_y
_atom_site_fract_z
Cs1 0.0000 0.0000 0.0000
Cs2 0.0000 0.0000 0.2202
Mn1 0.0000 0.0000 0.3844
Mn2 0.0000 0.0000 0.5000
Cl1 0.0000 0.5000 0.0000
Cl2 0.0175 0.5088 0.2239


# La2RuCl, single point on PBEsol structure, DFT meta-GGA SCAN
# - Crystal system: tetragonal
# - Total magnetic moment: 0.0 μB per cell
# - DOS at the Fermi energy: 3.38 states/eV/cell
# - ρ: 7.75 Mg/m³
# - Excess energy over the best structure of this formula in the dataset: 354 meV per atom
data_La2RuCl
_symmetry_space_group_name_H-M 'P 4/m m m'
_symmetry_Int_Tables_number 123
_symmetry_space_group_name_Hall '-P 4 2'
_cell_length_a 5.1125
_cell_length_b 5.1125
_cell_length_c 3.3972
_cell_angle_alpha 90.00
_cell_angle_beta 90.00
_cell_angle_gamma 90.00
loop_
_atom_site_label
_atom_site_fract_x
_atom_site_fract_y
_atom_site_fract_z
La1 0.0000 0.5000 0.0000
Ru1 0.0000 0.0000 0.5000
Cl1 0.5000 0.5000 0.5000


# LiYNi, single point on PBEsol structure, DFT meta-GGA SCAN
# - Crystal system: hexagonal
# - Total magnetic moment: 0.0 μB per cell
# - DOS at the Fermi energy: 1.44 states/eV/cell
# - ρ: 4.84 Mg/m³
# - Excess energy over the best structure of this formula in the dataset: 0 meV per atom
data_LiYNi
_symmetry_space_group_name_H-M 'P -6 m 2'
_symmetry_Int_Tables_number 187
_symmetry_space_group_name_Hall 'P -6 2'
_cell_length_a 4.1256
_cell_length_b 4.1256
_cell_length_c 3.5963
_cell_angle_alpha 90.00
_cell_angle_beta 90.00
_cell_angle_gamma 120.00
loop_
_atom_site_label
_atom_site_fract_x
_atom_site_fract_y
_atom_site_fract_z
Li1 0.0000 0.0000 0.0000
Y1 0.6667 0.3333 0.5000
Ni1 0.3333 0.6667 0.0000


# MnNiP2O7, single point on PBEsol structure, DFT meta-GGA SCAN
# - Crystal system: monoclinic
# - Total magnetic moment: 14.0 μB per cell
# - DOS at the Fermi energy: 0.00 states/eV/cell
# - Raw total energy: -11.250 eV per atom
# - ρ: 4.04 Mg/m³
data_MnNiP2O7
_symmetry_space_group_name_H-M 'C 1 2 1'
_symmetry_Int_Tables_number 5
_symmetry_space_group_name_Hall 'C 2y'
_cell_length_a 6.4801
_cell_length_b 8.3103
_cell_length_c 4.4924
_cell_angle_alpha 90.00
_cell_angle_beta 102.44
_cell_angle_gamma 90.00
loop_
_atom_site_label
_atom_site_fract_x
_atom_site_fract_y
_atom_site_fract_z
Mn1 0.0000 0.0000 0.0000
Ni1 0.0000 0.6227 0.0000
P1 0.2174 0.2972 0.4083
O1 0.0000 0.2522 0.5000
O2 0.1234 0.8060 0.2848
O3 0.2031 0.4552 0.2345
O4 0.2480 0.1500 0.2130


# SrNbCdAg2, single point on PBEsol structure, DFT meta-GGA SCAN
# - Crystal system: tetragonal
# - Total magnetic moment: 0.0 μB per cell
# - DOS at the Fermi energy: 4.04 states/eV/cell
# - Raw total energy: -28.552 eV per atom
# - ρ: 5.74 Mg/m³
data_SrNbCdAg2
_symmetry_space_group_name_H-M 'P 4/m m m'
_symmetry_Int_Tables_number 123
_symmetry_space_group_name_Hall '-P 4 2'
_cell_length_a 5.1094
_cell_length_b 5.1094
_cell_length_c 5.6369
_cell_angle_alpha 90.00
_cell_angle_beta 90.00
_cell_angle_gamma 90.00
loop_
_atom_site_label
_atom_site_fract_x
_atom_site_fract_y
_atom_site_fract_z
Sr1 0.0000 0.0000 0.0000
Nb1 0.0000 0.0000 0.5000
Cd1 0.5000 0.5000 0.0000
Ag1 0.0000 0.5000 0.5000


# Ce3ZrSb5, single point on PBEsol structure, DFT meta-GGA SCAN
# - Crystal system: hexagonal
# - Total magnetic moment: 4.7 μB per cell
# - DOS at the Fermi energy: 22.03 states/eV/cell
# - Raw total energy: -40.021 eV per atom
# - ρ: 8.06 Mg/m³
data_Ce3ZrSb5
_symmetry_space_group_name_H-M 'P 63/m c m'
_symmetry_Int_Tables_number 193
_symmetry_space_group_name_Hall '-P 6c 2'
_cell_length_a 9.2684
_cell_length_b 9.2684
_cell_length_c 6.2072
_cell_angle_alpha 90.00
_cell_angle_beta 90.00
_cell_angle_gamma 120.00
loop_
_atom_site_label
_atom_site_fract_x
_atom_site_fract_y
_atom_site_fract_z
Ce1 0.0000 0.3840 0.2500
Zr1 0.0000 0.0000 0.0000
Sb1 0.0000 0.2690 0.7500
Sb2 0.3333 0.6667 0.0000


# MgSbIr2, single point on PBEsol structure, DFT meta-GGA SCAN
# - Crystal system: orthorhombic
# - Total magnetic moment: 0.0 μB per cell
# - DOS at the Fermi energy: 1.23 states/eV/cell
# - Raw total energy: -46.277 eV per atom
# - ρ: 13.76 Mg/m³
data_MgSbIr2
_symmetry_space_group_name_H-M 'P m m m'
_symmetry_Int_Tables_number 47
_symmetry_space_group_name_Hall '-P 2 2'
_cell_length_a 3.0345
_cell_length_b 3.5490
_cell_length_c 5.9461
_cell_angle_alpha 90.00
_cell_angle_beta 90.00
_cell_angle_gamma 90.00
loop_
_atom_site_label
_atom_site_fract_x
_atom_site_fract_y
_atom_site_fract_z
Mg1 0.0000 0.0000 0.0000
Sb1 0.0000 0.0000 0.5000
Ir1 0.5000 0.5000 0.2479


# LiScVO4, single point on PBEsol structure, DFT meta-GGA SCAN
# - Crystal system: orthorhombic
# - Total magnetic moment: 4.0 μB per cell
# - DOS at the Fermi energy: 7.00 states/eV/cell
# - Raw total energy: -11.420 eV per atom
# - ρ: 3.67 Mg/m³
data_LiScVO4
_symmetry_space_group_name_H-M 'I m m a'
_symmetry_Int_Tables_number 74
_symmetry_space_group_name_Hall '-I 2b 2'
_cell_length_a 5.7158
_cell_length_b 6.2211
_cell_length_c 8.4805
_cell_angle_alpha 90.00
_cell_angle_beta 90.00
_cell_angle_gamma 90.00
loop_
_atom_site_label
_atom_site_fract_x
_atom_site_fract_y
_atom_site_fract_z
Li1 0.0000 0.2500 0.1194
Sc1 0.0000 0.0000 0.5000
V1 0.2500 0.2500 0.7500
O1 0.0000 0.0350 0.7460
O2 0.2384 0.2500 0.5247


# KCrCd, single point on PBEsol structure, DFT meta-GGA SCAN
# - Crystal system: cubic
# - Total magnetic moment: 20.3 μB per cell
# - DOS at the Fermi energy: 6.34 states/eV/cell
# - Raw total energy: -18.416 eV per atom
# - ρ: 3.59 Mg/m³
data_KCrCd
_symmetry_space_group_name_H-M 'F -4 3 m'
_symmetry_Int_Tables_number 216
_symmetry_space_group_name_Hall 'F -4 2 3'
_cell_length_a 7.2200
_cell_length_b 7.2200
_cell_length_c 7.2200
_cell_angle_alpha 90.00
_cell_angle_beta 90.00
_cell_angle_gamma 90.00
loop_
_atom_site_label
_atom_site_fract_x
_atom_site_fract_y
_atom_site_fract_z
K1 0.0000 0.0000 0.0000
Cr1 0.2500 0.2500 0.7500
Cd1 0.0000 0.0000 0.5000